Below is a geometry-optimized BaBePb2 structure, with properties calculated at the GGA-PBE level.

The value obtained for the energy of formation from the pure elements is 0.22 eV/atom. The calculated total energy comes out at -3.05 eV per atom. Its total magnetization is 0.000 Bohr magnetons per cell.

```
data_BaBePb2
_space_group_name_H-M_alt 'P 4/m m m'
_space_group_IT_number 123
_space_group_name_Hall '-P 4 2'
_cell_length_a 4.925
_cell_length_b 4.925
_cell_length_c 4.965
_cell_angle_alpha 90.00
_cell_angle_beta 90.00
_cell_angle_gamma 90.00
loop_
_atom_site_label
_atom_site_fract_x
_atom_site_fract_y
_atom_site_fract_z
_atom_site_occupancy
Ba1 0.000 0.000 0.000 1
Be1 0.500 0.500 0.000 1
Pb1 0.000 0.500 0.500 1
```

***

Below is a geometry-optimized Na8B13C3 structure, with properties calculated at the GGA-PBE level.

The value obtained for the energy of formation from the pure elements is 0.21 eV/atom. The calculated total energy comes out at -5.00 eV per atom. For the energy above the most stable polymorph in this dataset, the calculation gives 0.72 eV per formula unit. Its total magnetization is 0.000 Bohr magnetons per cell.

```
data_Na8B13C3
_space_group_name_H-M_alt 'P 1'
_space_group_IT_number 1
_cell_length_a 5.067
_cell_length_b 5.939
_cell_length_c 9.146
_cell_angle_alpha 71.12
_cell_angle_beta 89.97
_cell_angle_gamma 89.96
loop_
_space_group_symop_operation_xyz
'x,y,z'
loop_
_atom_site_label
_atom_site_fract_x
_atom_site_fract_y
_atom_site_fract_z
_atom_site_occupancy
Na1 0.000 0.000 0.000 1
Na2 0.000 0.249 0.502 1
Na3 0.499 0.249 0.003 1
Na4 0.499 0.499 0.503 1
Na5 0.499 0.750 0.001 1
Na6 0.499 0.999 0.501 1
Na7 0.998 0.499 0.002 1
Na8 0.998 0.748 0.503 1
B1 0.181 0.627 0.252 1
B2 0.183 0.361 0.752 1
B3 0.183 0.887 0.752 1
B4 0.304 0.890 0.252 1
B5 0.318 0.623 0.753 1
B6 0.335 0.365 0.253 1
B7 0.648 0.125 0.750 1
B8 0.669 0.624 0.753 1
B9 0.681 0.873 0.251 1
B10 0.803 0.609 0.252 1
B11 0.831 0.372 0.752 1
B12 0.831 0.877 0.751 1
B13 0.834 0.134 0.252 1
C1 0.176 0.132 0.252 1
C2 0.328 0.124 0.751 1
C3 0.675 0.367 0.252 1
```